No. 1
Below is a geometry-optimized Nd5AgHg2Ir2 structure, with properties calculated at the PBE level.

Structure (CIF):
```
data_Nd5AgHg2Ir2
_cell_length_a 12.0152
_cell_length_b 12.0152
_cell_length_c 3.8273
_cell_angle_alpha 90.00
_cell_angle_beta 90.00
_cell_angle_gamma 90.00
_space_group_name_H-M_alt 'P 4/m b m'
_space_group_IT_number 127
_space_group_name_Hall '-P 4 2ab'
loop_
_atom_site_label
_atom_site_type_symbol
_atom_site_fract_x
_atom_site_fract_y
_atom_site_fract_z
_atom_site_occupancy
Nd1 Nd 0.0000 0.5000 0.0000 1
Nd2 Nd 0.0868 0.2003 0.0000 1
Ag1 Ag 0.0000 0.0000 0.5000 1
Hg1 Hg 0.1720 0.6720 0.5000 1
Ir1 Ir 0.1318 0.3682 0.5000 1
```

Calculated values
The formation energy is -0.427 eV/atom.

***

No. 2
Below is a geometry-optimized Ga2TeI6 structure, with properties calculated at the PBE level.

Structure (CIF):
```
data_Ga2TeI6
_cell_length_a 18.8963
_cell_length_b 24.5097
_cell_length_c 4.2504
_cell_angle_alpha 90.00
_cell_angle_beta 98.39
_cell_angle_gamma 90.00
_space_group_name_H-M_alt 'C 1 2/c 1'
_space_group_IT_number 15
_space_group_name_Hall '-C 2yc'
loop_
_atom_site_label
_atom_site_type_symbol
_atom_site_fract_x
_atom_site_fract_y
_atom_site_fract_z
_atom_site_occupancy
Ga1 Ga 0.1769 0.1330 0.1419 1
Te1 Te 0.0000 0.4633 0.7500 1
I1 I 0.1090 0.0823 0.5964 1
I2 I 0.1398 0.2309 0.1212 1
I3 I 0.1956 0.4002 0.7888 1
```

Calculated values
The value obtained for the formation energy from raw total energies is -0.352 eV/atom.

***

No. 3
Below is a geometry-optimized Mg2SiSb structure, with properties calculated at the PBE level.

Structure (CIF):
```
data_Mg2SiSb
_cell_length_a 4.6079
_cell_length_b 4.6079
_cell_length_c 3.9997
_cell_angle_alpha 90.00
_cell_angle_beta 90.00
_cell_angle_gamma 90.00
_space_group_name_H-M_alt 'P 4/m m m'
_space_group_IT_number 123
_space_group_name_Hall '-P 4 2'
loop_
_atom_site_label
_atom_site_type_symbol
_atom_site_fract_x
_atom_site_fract_y
_atom_site_fract_z
_atom_site_occupancy
Mg1 Mg 0.0000 0.5000 0.0000 1
Si1 Si 0.0000 0.0000 0.5000 1
Sb1 Sb 0.5000 0.5000 0.5000 1
```

Calculated values
The value obtained for the formation energy from raw total energies is 0.035 eV/atom. The value obtained for the relative energy among the computed polymorphs is 38 meV per atom.

***

No. 4
Below is a geometry-optimized CaTa2Co structure, with properties calculated at the PBE level.

Structure (CIF):
```
data_CaTa2Co
_cell_length_a 6.4927
_cell_length_b 6.4927
_cell_length_c 6.4927
_cell_angle_alpha 90.00
_cell_angle_beta 90.00
_cell_angle_gamma 90.00
_space_group_name_H-M_alt 'F m -3 m'
_space_group_IT_number 225
_space_group_name_Hall '-F 4 2 3'
loop_
_atom_site_label
_atom_site_type_symbol
_atom_site_fract_x
_atom_site_fract_y
_atom_site_fract_z
_atom_site_occupancy
Ca1 Ca 0.0000 0.0000 0.0000 1
Ta1 Ta 0.2500 0.2500 0.2500 1
Co1 Co 0.0000 0.0000 0.5000 1
```

Calculated values
The value obtained for the relative energy among the computed polymorphs is 612 meV per atom. The formation energy is 0.829 eV/atom.

***

No. 5
Below is a geometry-optimized CdAuBr6 structure, with properties calculated at the PBE level.

Structure (CIF):
```
data_CdAuBr6
_cell_length_a 5.9225
_cell_length_b 7.2729
_cell_length_c 7.4621
_cell_angle_alpha 93.20
_cell_angle_beta 111.99
_cell_angle_gamma 98.08
_space_group_name_H-M_alt 'P -1'
_space_group_IT_number 2
_space_group_name_Hall '-P 1'
loop_
_atom_site_label
_atom_site_type_symbol
_atom_site_fract_x
_atom_site_fract_y
_atom_site_fract_z
_atom_site_occupancy
Cd1 Cd 0.0000 0.0000 0.0000 1
Au1 Au 0.5000 0.5000 0.0000 1
Br1 Br 0.0669 0.9012 0.3812 1
Br2 Br 0.2830 0.7145 0.1515 1
Br3 Br 0.4301 0.2535 0.1998 1
```

Calculated values
The value obtained for the formation energy from raw total energies is -0.298 eV/atom.

***

No. 6
Below is a geometry-optimized SrV2Ir structure, with properties calculated at the PBE level.

Structure (CIF):
```
data_SrV2Ir
_cell_length_a 4.7070
_cell_length_b 4.7070
_cell_length_c 17.3654
_cell_angle_alpha 90.00
_cell_angle_beta 90.00
_cell_angle_gamma 90.00
_space_group_name_H-M_alt 'I 41/a m d'
_space_group_IT_number 141
loop_
_space_group_symop_operation_xyz
'x,y,z'
'-x,-y,-z'
'-y+1/4,x+3/4,z+1/4'
'y+1/4,-x+3/4,-z+1/4'
'-x+1/2,-y,z+1/2'
'x+1/2,y,-z+1/2'
'y+1/4,-x+1/4,z+3/4'
'-y+1/4,x+1/4,-z+3/4'
'x,-y,-z'
'-x,y,z'
'-y+1/4,-x+1/4,-z+3/4'
'y+1/4,x+1/4,z+3/4'
'-x+1/2,y,-z+1/2'
'x+1/2,-y,z+1/2'
'y+1/4,x+3/4,-z+1/4'
'-y+1/4,-x+3/4,z+1/4'
'x+1/2,y+1/2,z+1/2'
'-x+1/2,-y+1/2,-z+1/2'
'-y+3/4,x+1/4,z+3/4'
'y+3/4,-x+1/4,-z+3/4'
'-x,-y+1/2,z'
'x,y+1/2,-z'
'y+3/4,-x+3/4,z+1/4'
'-y+3/4,x+3/4,-z+1/4'
'x+1/2,-y+1/2,-z+1/2'
'-x+1/2,y+1/2,z+1/2'
'-y+3/4,-x+3/4,-z+1/4'
'y+3/4,x+3/4,z+1/4'
'-x,y+1/2,-z'
'x,-y+1/2,z'
'y+3/4,x+1/4,-z+3/4'
'-y+3/4,-x+1/4,z+3/4'
loop_
_atom_site_label
_atom_site_type_symbol
_atom_site_fract_x
_atom_site_fract_y
_atom_site_fract_z
_atom_site_occupancy
Sr1 Sr 0.0000 0.2500 0.3750 1
V1 V 0.0000 0.0000 0.0000 1
Ir1 Ir 0.0000 0.2500 0.8750 1
```

Calculated values
The value obtained for the relative energy among the computed polymorphs is 32 meV per atom. The formation energy is 0.643 eV/atom.

***

No. 7
Below is a geometry-optimized SnB2H structure, with properties calculated at the PBE level.

Structure (CIF):
```
data_SnB2H
_cell_length_a 5.6853
_cell_length_b 5.6853
_cell_length_c 5.6853
_cell_angle_alpha 90.00
_cell_angle_beta 90.00
_cell_angle_gamma 90.00
_space_group_name_H-M_alt 'F m -3 m'
_space_group_IT_number 225
_space_group_name_Hall '-F 4 2 3'
loop_
_atom_site_label
_atom_site_type_symbol
_atom_site_fract_x
_atom_site_fract_y
_atom_site_fract_z
_atom_site_occupancy
Sn1 Sn 0.0000 0.0000 0.0000 1
B1 B 0.2500 0.2500 0.2500 1
H1 H 0.0000 0.0000 0.5000 1
```

Calculated values
The value obtained for the relative energy among the computed polymorphs is 804 meV per atom.

***

No. 8
Below is a geometry-optimized MgAg3F structure, with properties calculated at the PBE level.

Structure (CIF):
```
data_MgAg3F
_cell_length_a 5.0120
_cell_length_b 5.0120
_cell_length_c 5.0120
_cell_angle_alpha 90.00
_cell_angle_beta 90.00
_cell_angle_gamma 90.00
_space_group_name_H-M_alt 'P m -3 m'
_space_group_IT_number 221
_space_group_name_Hall '-P 4 2 3'
loop_
_atom_site_label
_atom_site_type_symbol
_atom_site_fract_x
_atom_site_fract_y
_atom_site_fract_z
_atom_site_occupancy
Mg1 Mg 0.0000 0.0000 0.0000 1
Ag1 Ag 0.0000 0.0000 0.5000 1
F1 F 0.5000 0.5000 0.5000 1
```

Calculated values
The value obtained for the formation energy from raw total energies is 0.399 eV/atom. The value obtained for the relative energy among the computed polymorphs is 517 meV per atom.

***

No. 9
Below is a geometry-optimized MgSiNiOs structure, with properties calculated at the PBE level.

Structure (CIF):
```
data_MgSiNiOs
_cell_length_a 5.9197
_cell_length_b 5.9197
_cell_length_c 5.9197
_cell_angle_alpha 90.00
_cell_angle_beta 90.00
_cell_angle_gamma 90.00
_space_group_name_H-M_alt 'F -4 3 m'
_space_group_IT_number 216
_space_group_name_Hall 'F -4 2 3'
loop_
_atom_site_label
_atom_site_type_symbol
_atom_site_fract_x
_atom_site_fract_y
_atom_site_fract_z
_atom_site_occupancy
Mg1 Mg 0.0000 0.0000 0.0000 1
Si1 Si 0.0000 0.0000 0.5000 1
Ni1 Ni 0.2500 0.2500 0.2500 1
Os1 Os 0.2500 0.2500 0.7500 1
```

Calculated values
The value obtained for the formation energy from raw total energies is -0.203 eV/atom.

***

No. 10
Below is a geometry-optimized Y2ReSe structure, with properties calculated at the PBE level.

Structure (CIF):
```
data_Y2ReSe
_cell_length_a 3.2914
_cell_length_b 3.2914
_cell_length_c 8.3659
_cell_angle_alpha 90.00
_cell_angle_beta 90.00
_cell_angle_gamma 90.00
_space_group_name_H-M_alt 'P 4 m m'
_space_group_IT_number 99
_space_group_name_Hall 'P 4 -2'
loop_
_atom_site_label
_atom_site_type_symbol
_atom_site_fract_x
_atom_site_fract_y
_atom_site_fract_z
_atom_site_occupancy
Y1 Y 0.0000 0.0000 0.0000 1
Y2 Y 0.5000 0.5000 0.3580 1
Re1 Re 0.0000 0.0000 0.6017 1
Se1 Se 0.5000 0.5000 0.7484 1
```

Calculated values
The value obtained for the formation energy from raw total energies is -0.022 eV/atom.

***

No. 11
Below is a geometry-optimized TbIrRh2 structure, with properties calculated at the PBE level.

Structure (CIF):
```
data_TbIrRh2
_cell_length_a 9.3445
_cell_length_b 2.9964
_cell_length_c 4.9769
_cell_angle_alpha 90.00
_cell_angle_beta 101.59
_cell_angle_gamma 90.00
_space_group_name_H-M_alt 'C 1 2/m 1'
_space_group_IT_number 12
_space_group_name_Hall '-C 2y'
loop_
_atom_site_label
_atom_site_type_symbol
_atom_site_fract_x
_atom_site_fract_y
_atom_site_fract_z
_atom_site_occupancy
Tb1 Tb 0.0000 0.0000 0.0000 1
Ir1 Ir 0.0000 0.5000 0.5000 1
Rh1 Rh 0.2419 0.0000 0.7174 1
```

Calculated values
The value obtained for the relative energy among the computed polymorphs is 278 meV per atom. The formation energy is -0.263 eV/atom.

***

No. 12
Below is a geometry-optimized BeTcAu2 structure, with properties calculated at the PBE level.

Structure (CIF):
```
data_BeTcAu2
_cell_length_a 2.7865
_cell_length_b 2.8964
_cell_length_c 7.2103
_cell_angle_alpha 90.00
_cell_angle_beta 90.00
_cell_angle_gamma 90.00
_space_group_name_H-M_alt 'P m m m'
_space_group_IT_number 47
_space_group_name_Hall '-P 2 2'
loop_
_atom_site_label
_atom_site_type_symbol
_atom_site_fract_x
_atom_site_fract_y
_atom_site_fract_z
_atom_site_occupancy
Be1 Be 0.0000 0.0000 0.0000 1
Tc1 Tc 0.0000 0.0000 0.5000 1
Au1 Au 0.5000 0.5000 0.2099 1
```

Calculated values
The formation energy is 0.172 eV/atom.

***

The following magnetic moment values (in μB/f.u.) correspond, in order, to the records above: 0.00; 0.00; 0.00; 0.00; 0.00; 1.08; 0.00; 0.00; 0.00; 0.01; 0.00; 0.00.
The following Fermi-level density of states values (in states/eV/atom) correspond, in order, to the records above: 0.859; 0.201; 0.399; 1.061; 0.209; 1.474; 0.496; 0.652; 0.241; 0.825; 0.869; 0.875.
The following electronic total energy values (in eV/f.u.) correspond, in order, to the records above: -49.282; -21.666; -12.596; -29.496; -16.611; -26.210; -13.849; -10.025; -24.842; -28.948; -29.245; -19.958.